(1)
First-principles (PBE-GGA) data for a geometry-optimized Pr3Nd12Ho structure, as listed in Alexandria.

Its total energy is -75.942 eV per cell.

It has space group P4/mmm (No. 123), with a = 5.200 Å, b = 5.200 Å, c = 20.779 Å, α = 90.00°, β = 90.00° and γ = 90.00°. The inequivalent atoms are Pr at (0.000, 0.000, 0.000), Pr at (0.000, 0.000, 0.251), Nd at (0.000, 0.500, 0.126), Nd at (0.000, 0.500, 0.377), Nd at (0.500, 0.500, 0.000), Nd at (0.500, 0.500, 0.252), Nd at (0.500, 0.500, 0.500) and Ho at (0.000, 0.000, 0.500).


(2)
First-principles (PBE-GGA) data for a geometry-optimized Pr2Nd5Ho structure, as listed in Alexandria.

Its total energy is -75.738 eV per cell.

It has space group Pbam (No. 55), with a = 7.334 Å, b = 14.701 Å, c = 5.180 Å, α = 90.00°, β = 90.00° and γ = 90.00°. The inequivalent atoms are Pr at (0.249, 0.124, 0.000), Nd at (0.000, 0.249, 0.500), Nd at (0.000, 0.500, 0.500), Nd at (0.250, 0.376, 0.000) and Ho at (0.000, 0.000, 0.500).